No. 1
! UCo2TcGe5 | Alexandria | GGA-PBE | optimized geometry; values from VASP
&SYSTEM
  ibrav = 0, nat = 9, ntyp = 4
/
ATOMIC_SPECIES
U 238.03 U.upf
Co 58.93 Co.upf
Tc 98.00 Tc.upf
Ge 72.64 Ge.upf
ATOMIC_POSITIONS crystal
U 0.000 0.000 0.000
Co 0.500 0.500 0.240
Co 0.500 0.500 0.760
Tc 0.000 0.000 0.500
Ge 0.000 0.500 0.337
Ge 0.000 0.500 0.663
Ge 0.500 0.000 0.337
Ge 0.500 0.000 0.663
Ge 0.500 0.500 0.000
CELL_PARAMETERS angstrom
4.297 0.000 0.000
0.000 4.297 0.000
0.000 0.000 8.887
! * V: 18.2 Å³/atom
! * SG: P4/mmm
! * formation enthalpy at 0 K: 145.9 meV/atom
! * size of the total moment: 3.120 μB per formula unit

No. 2
! U2Co4TcGe3 | Alexandria | GGA-PBE | optimized geometry; values from VASP
&SYSTEM
  ibrav = 0, nat = 10, ntyp = 4
/
ATOMIC_SPECIES
U 238.03 U.upf
Co 58.93 Co.upf
Tc 98.00 Tc.upf
Ge 72.64 Ge.upf
ATOMIC_POSITIONS crystal
U 0.000 0.500 0.239
U 0.500 0.000 0.761
Co 0.000 0.000 0.500
Co 0.000 0.500 0.841
Co 0.500 0.000 0.159
Co 0.500 0.500 0.500
Tc 0.500 0.500 0.000
Ge 0.000 0.000 0.000
Ge 0.000 0.500 0.624
Ge 0.500 0.000 0.376
CELL_PARAMETERS angstrom
3.772 0.000 0.000
0.000 3.772 0.000
0.000 0.000 10.700
! * V: 15.2 Å³/atom
! * SG: P-4m2
! * formation enthalpy at 0 K: -267.7 meV/atom
! * size of the total moment: 0.000 μB per formula unit